Density functional theory data (GGA-PBE) for a relaxed structure of Dy6SbSe2S3.

It has space group C2/m (No. 12), with a = 17.710 Å, b = 4.017 Å, c = 8.164 Å, α = 90.00°, β = 104.21° and γ = 90.00°. The asymmetric unit holds Dy at (0.005, 0.000, 0.229), Dy at (0.161, 0.500, 0.095), Dy at (0.174, 0.500, 0.567), Sb at (0.000, 0.500, 0.500), Se at (0.169, 0.000, 0.834), S at (0.000, 0.500, 0.000) and S at (0.166, 0.000, 0.329).

The energy is -144.44 eV per cell. The uncorrected formation energy is -21.1 eV/f.u. Its density of states at the Fermi level is 3.5 states/eV/f.u. The size of the total moment comes out at 0.0 Bohr magnetons per cell. The value obtained for the theoretical density is 7.97 g cm⁻³.